Entry 1:
# NdBePO | the Open Quantum Materials Database | GGA-PBE | relaxed
# * space group: P4/nmm
# * polymorph energy (0 for the lowest one): 0.000 eV per atom
# * total DFT energy (no corrections): -52.3 eV/cell
data_NdBePO
_space_group_name_H-M_alt 'P 1'
_space_group_IT_number 1
_cell_length_a 3.8452
_cell_length_b 3.8452
_cell_length_c 8.5765
_cell_angle_alpha 90.00
_cell_angle_beta 90.00
_cell_angle_gamma 90.00
loop_
_space_group_symop_operation_xyz
'x,y,z'
loop_
_atom_site_label
_atom_site_type_symbol
_atom_site_fract_x
_atom_site_fract_y
_atom_site_fract_z
Nd1 Nd 0.2500 0.2500 0.1472
Nd2 Nd 0.7500 0.7500 0.8528
Be1 Be 0.2500 0.7500 0.5000
Be2 Be 0.7500 0.2500 0.5000
P1 P 0.2500 0.2500 0.6410
P2 P 0.7500 0.7500 0.3590
O1 O 0.2500 0.7500 0.0000
O2 O 0.7500 0.2500 0.0000

***

Entry 2:
# HoLu2In3CuPt2 | the Open Quantum Materials Database | GGA-PBE | relaxed
# * space group: Amm2
# * total DFT energy (no corrections): -45.2 eV/cell
data_HoLu2In3CuPt2
_space_group_name_H-M_alt 'P 1'
_space_group_IT_number 1
_cell_length_a 3.6535
_cell_length_b 7.7245
_cell_length_c 7.7245
_cell_angle_alpha 120.16
_cell_angle_beta 90.00
_cell_angle_gamma 90.00
loop_
_space_group_symop_operation_xyz
'x,y,z'
loop_
_atom_site_label
_atom_site_type_symbol
_atom_site_fract_x
_atom_site_fract_y
_atom_site_fract_z
Ho1 Ho 0.0000 0.0000 0.0000
Lu1 Lu 0.0000 0.4097 0.8192
Lu2 Lu 0.0000 0.8192 0.4097
In1 In 0.5000 0.1526 0.4105
In2 In 0.5000 0.4105 0.1526
In3 In 0.5000 0.6666 0.6666
Cu1 Cu 0.0000 0.4103 0.4103
Pt1 Pt 0.5000 0.0774 0.7403
Pt2 Pt 0.5000 0.7403 0.0774

***

Entry 3:
# AcTcSb | the Open Quantum Materials Database | GGA-PBE | relaxed
# * space group: F-43m
# * polymorph energy (0 for the lowest one): 0.613 eV per atom
# * total DFT energy (no corrections): -15.6 eV/cell
data_AcTcSb
_space_group_name_H-M_alt 'P 1'
_space_group_IT_number 1
_cell_length_a 5.2620
_cell_length_b 5.2620
_cell_length_c 5.2620
_cell_angle_alpha 60.00
_cell_angle_beta 60.00
_cell_angle_gamma 60.00
loop_
_space_group_symop_operation_xyz
'x,y,z'
loop_
_atom_site_label
_atom_site_type_symbol
_atom_site_fract_x
_atom_site_fract_y
_atom_site_fract_z
Ac1 Ac 0.0000 0.0000 0.0000
Tc1 Tc 0.2500 0.2500 0.2500
Sb1 Sb 0.7500 0.7500 0.7500

***

Entry 4:
# HfZr3Bi2N2 | the Open Quantum Materials Database | GGA-PBE | relaxed
# * space group: P3m1
# * total DFT energy (no corrections): -67.7 eV/cell
data_HfZr3Bi2N2
_space_group_name_H-M_alt 'P 1'
_space_group_IT_number 1
_cell_length_a 3.5038
_cell_length_b 3.5038
_cell_length_c 13.7121
_cell_angle_alpha 90.00
_cell_angle_beta 90.00
_cell_angle_gamma 120.00
loop_
_space_group_symop_operation_xyz
'x,y,z'
loop_
_atom_site_label
_atom_site_type_symbol
_atom_site_fract_x
_atom_site_fract_y
_atom_site_fract_z
Hf1 Hf 0.0000 0.0000 0.0000
Zr1 Zr 0.0000 0.0000 0.3381
Zr2 Zr 0.3333 0.6667 0.5006
Zr3 Zr 0.3333 0.6667 0.8389
Bi1 Bi 0.0000 0.0000 0.6703
Bi2 Bi 0.3333 0.6667 0.1679
N1 N 0.6667 0.3333 0.4191
N2 N 0.6667 0.3333 0.9255

***

Entry 5:
# Ta2Cd2Co2IrOs | the Open Quantum Materials Database | GGA-PBE | relaxed
# * ΔE_f: -1.1 kJ/mol of atoms
# * space group: P-4m2
# * total DFT energy (no corrections): -59.9 eV/cell
data_Ta2Cd2Co2IrOs
_space_group_name_H-M_alt 'P 1'
_space_group_IT_number 1
_cell_length_a 4.4365
_cell_length_b 4.4365
_cell_length_c 6.2907
_cell_angle_alpha 90.00
_cell_angle_beta 90.00
_cell_angle_gamma 90.00
loop_
_space_group_symop_operation_xyz
'x,y,z'
loop_
_atom_site_label
_atom_site_type_symbol
_atom_site_fract_x
_atom_site_fract_y
_atom_site_fract_z
Ta1 Ta 0.0000 0.5000 0.2485
Ta2 Ta 0.5000 0.0000 0.7515
Cd1 Cd 0.0000 0.5000 0.7500
Cd2 Cd 0.5000 0.0000 0.2500
Co1 Co 0.0000 0.0000 0.5000
Co2 Co 0.5000 0.5000 0.0000
Ir1 Ir 0.5000 0.5000 0.5000
Os1 Os 0.0000 0.0000 0.0000

***

Entry 6:
# TbCoNi | the Open Quantum Materials Database | GGA-PBE | relaxed
# * ΔE_f: 16.1 kJ/mol of atoms
# * space group: F-43m
# * total DFT energy (no corrections): -16.8 eV/cell
data_TbCoNi
_space_group_name_H-M_alt 'P 1'
_space_group_IT_number 1
_cell_length_a 4.2700
_cell_length_b 4.2700
_cell_length_c 4.2700
_cell_angle_alpha 60.00
_cell_angle_beta 60.00
_cell_angle_gamma 60.00
loop_
_space_group_symop_operation_xyz
'x,y,z'
loop_
_atom_site_label
_atom_site_type_symbol
_atom_site_fract_x
_atom_site_fract_y
_atom_site_fract_z
Tb1 Tb 0.0000 0.0000 0.0000
Co1 Co 0.5000 0.5000 0.5000
Ni1 Ni 0.7500 0.7500 0.7500

***

Entry 7:
# PaGaAu | the Open Quantum Materials Database | GGA-PBE | relaxed
# * space group: P-6m2
# * total DFT energy (no corrections): -17.1 eV/cell
data_PaGaAu
_space_group_name_H-M_alt 'P 1'
_space_group_IT_number 1
_cell_length_a 4.6398
_cell_length_b 4.6398
_cell_length_c 3.3365
_cell_angle_alpha 90.00
_cell_angle_beta 90.00
_cell_angle_gamma 120.00
loop_
_space_group_symop_operation_xyz
'x,y,z'
loop_
_atom_site_label
_atom_site_type_symbol
_atom_site_fract_x
_atom_site_fract_y
_atom_site_fract_z
Pa1 Pa 0.0000 0.0000 0.0000
Ga1 Ga 0.3333 0.6667 0.5000
Au1 Au 0.6667 0.3333 0.5000

***

Entry 8:
# RbNdCu3S4 | the Open Quantum Materials Database | GGA-PBE | relaxed
# * space group: P-43m
# * total DFT energy (no corrections): -37.1 eV/cell
data_RbNdCu3S4
_space_group_name_H-M_alt 'P 1'
_space_group_IT_number 1
_cell_length_a 6.3078
_cell_length_b 6.3078
_cell_length_c 6.3078
_cell_angle_alpha 90.00
_cell_angle_beta 90.00
_cell_angle_gamma 90.00
loop_
_space_group_symop_operation_xyz
'x,y,z'
loop_
_atom_site_label
_atom_site_type_symbol
_atom_site_fract_x
_atom_site_fract_y
_atom_site_fract_z
Rb1 Rb 0.0000 0.0000 0.0000
Nd1 Nd 0.5000 0.5000 0.5000
Cu1 Cu 0.0000 0.5000 0.5000
Cu2 Cu 0.5000 0.0000 0.5000
Cu3 Cu 0.5000 0.5000 0.0000
S1 S 0.2667 0.2667 0.2667
S2 S 0.2667 0.7333 0.7333
S3 S 0.7333 0.2667 0.7333
S4 S 0.7333 0.7333 0.2667

***

Entry 9:
# TbErNCl3 | the Open Quantum Materials Database | GGA-PBE | relaxed
# * space group: C2/m
# * polymorph energy (0 for the lowest one): 0.000 eV per atom
# * total DFT energy (no corrections): -71.7 eV/cell
data_TbErNCl3
_space_group_name_H-M_alt 'P 1'
_space_group_IT_number 1
_cell_length_a 8.4637
_cell_length_b 8.4637
_cell_length_c 10.7946
_cell_angle_alpha 121.15
_cell_angle_beta 121.15
_cell_angle_gamma 26.10
loop_
_space_group_symop_operation_xyz
'x,y,z'
loop_
_atom_site_label
_atom_site_type_symbol
_atom_site_fract_x
_atom_site_fract_y
_atom_site_fract_z
Tb1 Tb 0.1378 0.1378 0.2919
Tb2 Tb 0.8622 0.8622 0.7081
Er1 Er 0.4177 0.4177 0.0437
Er2 Er 0.5823 0.5823 0.9563
N1 N 0.4245 0.4245 0.8446
N2 N 0.5755 0.5755 0.1554
Cl1 Cl 0.0462 0.0462 0.7535
Cl2 Cl 0.2176 0.2176 0.1118
Cl3 Cl 0.3343 0.3343 0.4874
Cl4 Cl 0.6657 0.6657 0.5126
Cl5 Cl 0.7824 0.7824 0.8882
Cl6 Cl 0.9538 0.9538 0.2465

***

Entry 10:
# SrYCdTe3 | the Open Quantum Materials Database | GGA-PBE | relaxed
# * space group: Cmcm
# * total DFT energy (no corrections): -49.8 eV/cell
data_SrYCdTe3
_space_group_name_H-M_alt 'P 1'
_space_group_IT_number 1
_cell_length_a 8.0461
_cell_length_b 8.0461
_cell_length_c 11.2463
_cell_angle_alpha 90.00
_cell_angle_beta 90.00
_cell_angle_gamma 148.37
loop_
_space_group_symop_operation_xyz
'x,y,z'
loop_
_atom_site_label
_atom_site_type_symbol
_atom_site_fract_x
_atom_site_fract_y
_atom_site_fract_z
Sr1 Sr 0.2298 0.7702 0.7500
Sr2 Sr 0.7702 0.2298 0.2500
Y1 Y 0.0000 0.0000 0.0000
Y2 Y 0.0000 0.0000 0.5000
Cd1 Cd 0.4748 0.5252 0.2500
Cd2 Cd 0.5252 0.4748 0.7500
Te1 Te 0.1000 0.9000 0.2500
Te2 Te 0.3579 0.6421 0.0493
Te3 Te 0.3579 0.6421 0.4507
Te4 Te 0.6421 0.3579 0.5493
Te5 Te 0.6421 0.3579 0.9507
Te6 Te 0.9000 0.1000 0.7500

***

Entry 11:
# Hf2ReGe | the Open Quantum Materials Database | GGA-PBE | relaxed
# * space group: F-43m
# * total DFT energy (no corrections): -37.0 eV/cell
data_Hf2ReGe
_space_group_name_H-M_alt 'P 1'
_space_group_IT_number 1
_cell_length_a 4.6293
_cell_length_b 4.6293
_cell_length_c 4.6293
_cell_angle_alpha 60.00
_cell_angle_beta 60.00
_cell_angle_gamma 60.00
loop_
_space_group_symop_operation_xyz
'x,y,z'
loop_
_atom_site_label
_atom_site_type_symbol
_atom_site_fract_x
_atom_site_fract_y
_atom_site_fract_z
Hf1 Hf 0.0000 0.0000 0.0000
Hf2 Hf 0.2500 0.2500 0.2500
Re1 Re 0.7500 0.7500 0.7500
Ge1 Ge 0.5000 0.5000 0.5000

***

Entry 12:
# SmInPbS3 | the Open Quantum Materials Database | GGA-PBE | relaxed
# * space group: Cmcm
# * total DFT energy (no corrections): -58.9 eV/cell
data_SmInPbS3
_space_group_name_H-M_alt 'P 1'
_space_group_IT_number 1
_cell_length_a 7.4574
_cell_length_b 7.4574
_cell_length_c 11.2995
_cell_angle_alpha 90.00
_cell_angle_beta 90.00
_cell_angle_gamma 148.14
loop_
_space_group_symop_operation_xyz
'x,y,z'
loop_
_atom_site_label
_atom_site_type_symbol
_atom_site_fract_x
_atom_site_fract_y
_atom_site_fract_z
Sm1 Sm 0.0000 0.0000 0.0000
Sm2 Sm 0.0000 0.0000 0.5000
In1 In 0.3467 0.6533 0.7500
In2 In 0.6533 0.3467 0.2500
Pb1 Pb 0.3491 0.6509 0.2500
Pb2 Pb 0.6509 0.3491 0.7500
S1 S 0.0062 0.9938 0.2500
S2 S 0.3683 0.6317 0.5020
S3 S 0.3683 0.6317 0.9980
S4 S 0.6317 0.3683 0.0020
S5 S 0.6317 0.3683 0.4980
S6 S 0.9938 0.0062 0.7500

***

Number 1: total magnetization 0.00 μB per formula unit. Number 2: total magnetization 0.00 μB per formula unit. Number 3: total magnetization 3.28 μB per formula unit. Number 4: total magnetization 0.00 μB per formula unit. Number 5: total magnetization 1.08 μB per formula unit. Number 6: total magnetization 1.40 μB per formula unit. Number 7: total magnetization 0.43 μB per formula unit. Number 8: total magnetization 0.99 μB per formula unit. Number 9: total magnetization 0.00 μB per formula unit. Number 10: total magnetization 0.00 μB per formula unit. Number 11: total magnetization 0.00 μB per formula unit. Number 12: total magnetization 0.01 μB per formula unit.